Computed, not measured: a relaxed structure of ScNiRh2 at the GGA-PBE level of DFT.

The space group is P2/m (No. 10) and the conventional cell measures 4.487, 2.926 and 4.643 Å, with angles of 90.00, 106.61 and 90.00 degrees. The asymmetric unit holds Sc at (0.000, 0.000, 0.000), Ni at (0.000, 0.500, 0.500), Rh at (0.500, 0.000, 0.500) and Rh at (0.500, 0.500, 0.000).

Its formation enthalpy at 0 K is -41.86 kJ per mole of atoms. For the calculated density, the calculation gives 8.80 g cm⁻³. The energy is -7.138 eV per atom. The density of states at the Fermi level is 4.296 states/eV/cell.

=====

Computed, not measured: a relaxed structure of Sc2Ni3Rh3 at the GGA-PBE level of DFT.

The space group is Pmmm (No. 47) and the conventional cell measures 3.885, 3.897 and 7.461 Å, with angles of 90.00, 90.00 and 90.00 degrees. The asymmetric unit holds Sc at (0.000, 0.000, 0.247), Ni at (0.000, 0.500, 0.000), Ni at (0.500, 0.500, 0.245), Rh at (0.000, 0.500, 0.500), Rh at (0.500, 0.000, 0.000) and Rh at (0.500, 0.000, 0.500).

Its formation enthalpy at 0 K is -48.16 kJ per mole of atoms. For the calculated density, the calculation gives 8.45 g cm⁻³. The energy is -7.007 eV per atom. The density of states at the Fermi level is 9.702 states/eV/cell.

=====

Computed, not measured: a relaxed structure of ScNi2Rh at the GGA-PBE level of DFT.

The space group is Fm-3m (No. 225) and the conventional cell measures 6.056, 6.056 and 6.056 Å, with angles of 90.00, 90.00 and 90.00 degrees. The asymmetric unit holds Sc at (0.000, 0.000, 0.000), Ni at (0.250, 0.250, 0.250) and Rh at (0.000, 0.000, 0.500).

Its formation enthalpy at 0 K is -33.12 kJ per mole of atoms. For the calculated density, the calculation gives 7.93 g cm⁻³. The energy is -6.655 eV per atom. The density of states at the Fermi level is 6.475 states/eV/cell.

=====

Computed, not measured: a relaxed structure of ScNi2Rh at the GGA-PBE level of DFT.

The space group is P2/m (No. 10) and the conventional cell measures 2.802, 3.726 and 5.324 Å, with angles of 90.00, 90.10 and 90.00 degrees. The asymmetric unit holds Sc at (0.000, 0.000, 0.000), Ni at (0.500, 0.500, 0.269) and Rh at (0.000, 0.000, 0.500).

Its formation enthalpy at 0 K is -27.57 kJ per mole of atoms. For the calculated density, the calculation gives 7.92 g cm⁻³. The energy is -6.597 eV per atom. The density of states at the Fermi level is 6.113 states/eV/cell.

=====

Computed, not measured: a relaxed structure of Sc2Ni2Rh at the GGA-PBE level of DFT.

The space group is I4/mmm (No. 139) and the conventional cell measures 4.794, 4.794 and 7.332 Å, with angles of 90.00, 90.00 and 90.00 degrees. The asymmetric unit holds Sc at (0.000, 0.500, 0.250), Ni at (0.000, 0.000, 0.150) and Rh at (0.000, 0.000, 0.500).

Its formation enthalpy at 0 K is -25.44 kJ per mole of atoms. For the calculated density, the calculation gives 6.11 g cm⁻³. Its excess energy over the best structure of this formula in the dataset is 277 meV per atom. The energy is -6.579 eV per atom. The density of states at the Fermi level is 7.857 states/eV/cell.

=====

Computed, not measured: a relaxed structure of Sc6NiRh2 at the GGA-PBE level of DFT.

The space group is Fmmm (No. 69) and the conventional cell measures 4.591, 11.345 and 13.765 Å, with angles of 90.00, 90.00 and 90.00 degrees. The asymmetric unit holds Sc at (0.000, 0.135, 0.000), Sc at (0.000, 0.137, 0.336), Ni at (0.000, 0.000, 0.500) and Rh at (0.000, 0.000, 0.169).

Its formation enthalpy at 0 K is -50.01 kJ per mole of atoms. For the calculated density, the calculation gives 4.95 g cm⁻³. The energy is -7.015 eV per atom. The density of states at the Fermi level is 40.538 states/eV/cell.

=====

Computed, not measured: a relaxed structure of ScNiRh at the GGA-PBE level of DFT.

The space group is F-43m (No. 216) and the conventional cell measures 5.885, 5.885 and 5.885 Å, with angles of 90.00, 90.00 and 90.00 degrees. The asymmetric unit holds Sc at (0.000, 0.000, 0.000), Ni at (0.250, 0.250, 0.750) and Rh at (0.000, 0.000, 0.500).

Its formation enthalpy at 0 K is -24.58 kJ per mole of atoms. For the calculated density, the calculation gives 6.73 g cm⁻³. Its excess energy over the best structure of this formula in the dataset is 384 meV per atom. The energy is -6.743 eV per atom. The density of states at the Fermi level is 17.977 states/eV/cell.

=====

Computed, not measured: a relaxed structure of ScNiRh4 at the GGA-PBE level of DFT.

The space group is F-43m (No. 216) and the conventional cell measures 7.248, 7.248 and 7.248 Å, with angles of 90.00, 90.00 and 90.00 degrees. The asymmetric unit holds Sc at (0.000, 0.000, 0.000), Ni at (0.250, 0.250, 0.750) and Rh at (0.125, 0.125, 0.375).

Its formation enthalpy at 0 K is -11.01 kJ per mole of atoms. For the calculated density, the calculation gives 8.99 g cm⁻³. The energy is -7.034 eV per atom. The density of states at the Fermi level is 43.778 states/eV/cell.